DFT (PBE-GGA) results for a relaxed RbTa2CuI crystal.

abc: 5.1200 6.3641 5.1200
angles: 90.00 90.00 90.00
Site moments in Bohr magnetons follow the coordinates.
Sites, in units of the cell vectors:
Ta  0.5000  0.0000  0.0000  0.56
Ta  0.0000  0.0000  0.5000  0.46
I  0.0000  0.0000  0.0000  -0.01
Cu  0.5000  0.5000  0.5000  0.02
Rb  0.0000  0.5000  0.0000  0.01

Output
Formation energy from raw total energies = 2063 meV per atom
Magnetization = 1.7 μB/f.u.
Symmetry = P4/mmm, No. 123
Fermi-level density of states = 0.8777 states/eV per atom